An optimized crystal structure of Na2Hg3Pb3. Source: Alexandria via LeMat-Bulk, functional GGA-PBE.

Cell: 8.6393 8.6393 3.4579 Å, 90.00 90.00 120.00°
Space group P-62m (No. 189)
Unique sites:
1 Na 0.3333 0.6667 0.0000
2 Hg 0.0000 0.3905 0.5000
3 Pb 0.0000 0.7753 0.0000



An optimized crystal structure of NaHg4Pb15. Source: Alexandria via LeMat-Bulk, functional GGA-PBE.

Cell: 4.828 4.828 25.514 Å, 90.00 90.00 90.00°
Space group P4/mmm (No. 123)
Unique sites:
1 Na 0.000 0.000 0.000
2 Hg 0.000 0.000 0.201
3 Hg 0.000 0.000 0.400
4 Pb 0.000 0.500 0.099
5 Pb 0.000 0.500 0.301
6 Pb 0.000 0.500 0.500
7 Pb 0.500 0.500 0.000
8 Pb 0.500 0.500 0.199
9 Pb 0.500 0.500 0.401



An optimized crystal structure of NaHgPdPb2. Source: Alexandria via LeMat-Bulk, functional GGA-PBE.

Cell: 5.502 5.502 4.819 Å, 90.00 90.00 90.00°
Space group P4/mmm (No. 123)
Unique sites:
1 Na 0.000 0.000 0.000
2 Hg 0.500 0.500 0.500
3 Pd 0.000 0.000 0.500
4 Pb 0.000 0.500 0.000



An optimized crystal structure of NaHg4Pd2Pb. Source: Alexandria via LeMat-Bulk, functional GGA-PBE.

Cell: 4.124 4.124 11.752 Å, 90.00 90.00 90.00°
Space group P4/mmm (No. 123)
Unique sites:
1 Na 0.000 0.000 0.000
2 Hg 0.000 0.500 0.215
3 Pd 0.500 0.500 0.386
4 Pb 0.000 0.000 0.500



An optimized crystal structure of NaHgPdPb2. Source: Alexandria via LeMat-Bulk, functional GGA-PBE.

Cell: 5.279 5.279 5.470 Å, 90.00 90.00 90.00°
Space group P4/mmm (No. 123)
Unique sites:
1 Na 0.000 0.000 0.000
2 Hg 0.500 0.500 0.000
3 Pd 0.000 0.000 0.500
4 Pb 0.000 0.500 0.500



An optimized crystal structure of Na2HgPdPb. Source: Alexandria via LeMat-Bulk, functional GGA-PBE.

Cell: 5.423 5.423 5.218 Å, 90.00 90.00 90.00°
Space group P4/mmm (No. 123)
Unique sites:
1 Na 0.000 0.500 0.000
2 Hg 0.000 0.000 0.500
3 Pd 0.500 0.500 0.000
4 Pb 0.500 0.500 0.500



An optimized crystal structure of NaHgPd2Pb4. Source: Alexandria via LeMat-Bulk, functional GGA-PBE.

Cell: 4.633 4.633 10.749 Å, 90.00 90.00 90.00°
Space group P4/mmm (No. 123)
Unique sites:
1 Na 0.000 0.000 0.000
2 Hg 0.000 0.000 0.500
3 Pd 0.500 0.500 0.380
4 Pb 0.000 0.500 0.231



An optimized crystal structure of NaHgPdPb2. Source: Alexandria via LeMat-Bulk, functional GGA-PBE.

Cell: 5.385 5.385 5.357 Å, 90.00 90.00 90.00°
Space group P4/mmm (No. 123)
Unique sites:
1 Na 0.000 0.000 0.000
2 Hg 0.500 0.500 0.000
3 Pd 0.500 0.500 0.500
4 Pb 0.000 0.500 0.500



An optimized crystal structure of NaHgPdPb. Source: Alexandria via LeMat-Bulk, functional GGA-PBE.

Cell: 7.004 7.004 7.004 Å, 90.00 90.00 90.00°
Space group F-43m (No. 216)
Unique sites:
1 Na 0.000 0.000 0.000
2 Hg 0.250 0.250 0.750
3 Pd 0.000 0.000 0.500
4 Pb 0.250 0.250 0.250



An optimized crystal structure of NaPrHgPb. Source: Alexandria via LeMat-Bulk, functional GGA-PBE.

Cell: 7.687 7.687 7.687 Å, 90.00 90.00 90.00°
Space group F-43m (No. 216)
Unique sites:
1 Na 0.000 0.000 0.000
2 Pr 0.000 0.000 0.500
3 Hg 0.250 0.250 0.250
4 Pb 0.250 0.250 0.750



| no. | total DFT energy (no corrections) (eV/atom) | energy relative to the elements (eV/atom) |
| --- | --- | --- |
| 1 | -1.929 | -0.0951 |
| 2 | -2.924 | -0.0163 |
| 3 | -2.265 | 0.5813 |
| 4 | -2.115 | -0.0370 |
| 5 | -2.879 | -0.0329 |
| 6 | -2.413 | -0.0452 |
| 7 | -3.281 | 0.0737 |
| 8 | -2.857 | -0.0113 |
| 9 | -2.807 | -0.1765 |
| 10 | -2.930 | -0.4025 |